# BeSi2Hg

An optimized crystal structure of BeSi2Hg (PBE, Alexandria).

The structure in CIF format:
```
data_BeSi2Hg
_space_group_name_H-M_alt 'P 1'
_space_group_IT_number 1
_cell_length_a 3.0036
_cell_length_b 3.2131
_cell_length_c 6.9675
_cell_angle_alpha 90.00
_cell_angle_beta 90.00
_cell_angle_gamma 90.00
loop_
_space_group_symop_operation_xyz
'x,y,z'
loop_
_atom_site_label
_atom_site_type_symbol
_atom_site_fract_x
_atom_site_fract_y
_atom_site_fract_z
Be1 Be 0.0000 0.0000 0.0000
Si1 Si 0.0000 0.0000 0.6590
Si2 Si 0.5000 0.5000 0.8481
Hg1 Hg 0.5000 0.0000 0.3005
```

Summary:
Distance to the lowest polymorph of the same formula   10.1 meV/atom
Volume   16.81 Å³ per atom
Size of the total moment   0.0 μB/f.u.